First-principles (PBE) data for an optimized crystal structure of LiLaCu2F8, as listed in the Alexandria database.

Cell: 5.517 5.517 6.538 Å, 114.96 114.96 90.00°
Last column: magnetic moment on the atom in μB.
Fractional positions:
Li 0.000 0.000 0.000  0.00
La 0.750 0.250 0.500  0.01
Cu 0.500 0.500 0.000  0.71
Cu 0.250 0.750 0.500  0.73
F 0.715 0.848 0.111  0.07
F 0.396 0.263 0.111  0.07
F 0.604 0.669 0.613  0.07
F 0.009 0.944 0.613  0.07
F 0.056 0.396 0.387  0.07
F 0.331 0.991 0.387  0.07
F 0.152 0.604 0.889  0.07
F 0.737 0.285 0.889  0.07

Results
Volume, Å³ per atom: 13.3
Formation energy without anion corrections, eV/atom: -2.545
Final energy, eV/cell: -60.5